[1]
An optimized crystal structure of EuMgAgIr. Source: Alexandria via LeMat-Bulk, functional PBE.

POSCAR file:
```
EuMgAgIr
1.0
4.8761 0.0000 0.0000
2.4380 4.2228 0.0000
2.4380 1.4076 3.9813
Mg Eu Ir Ag
1 1 1 1
Direct
0.5000 0.5000 0.5000
0.0000 0.0000 0.0000
0.7500 0.7500 0.7500
0.2500 0.2500 0.2500
```

The value obtained for the calculated formation energy is -0.187 eV per atom. As for the space group: F-43m (216). The calculation puts the total energy at -6.083 eV/atom. The calculation puts the volume at 82.0 Å³ per cell.

***

[2]
An optimized crystal structure of PrEuAgIr. Source: Alexandria via LeMat-Bulk, functional PBE.

POSCAR file:
```
PrEuAgIr
1.0
-1.4914 -2.8683 -4.0013
1.7585 -4.8065 -0.5166
-3.1643 -3.9891 0.7323
Ag Pr Eu Ir
1 1 1 1
Direct
0.2500 0.2500 0.2500
0.0000 0.0000 0.0000
0.5000 0.5000 0.5000
0.7500 0.7500 0.7500
```

The value obtained for the calculated formation energy is -0.366 eV per atom. As for the space group: F-43m (216). The calculation puts the total energy at -7.057 eV/atom. The calculation puts the volume at 96.3 Å³ per cell.

***

[3]
An optimized crystal structure of EuPuAgIr. Source: Alexandria via LeMat-Bulk, functional PBE.

POSCAR file:
```
EuPuAgIr
1.0
5.0492 0.0000 0.0000
2.5246 4.3727 0.0000
2.5246 1.4576 4.1226
Ir Ag Pu Eu
1 1 1 1
Direct
0.7500 0.7500 0.7500
0.2500 0.2500 0.2500
0.5000 0.5000 0.5000
0.0000 0.0000 0.0000
```

The value obtained for the calculated formation energy is -0.196 eV per atom. As for the space group: F-43m (216). The calculation puts the total energy at -9.276 eV/atom. The calculation puts the volume at 91.0 Å³ per cell.

***

[4]
An optimized crystal structure of SmEuAgIr. Source: Alexandria via LeMat-Bulk, functional PBE.

POSCAR file:
```
SmEuAgIr
1.0
5.0902 0.0000 0.0000
2.5451 4.4082 0.0000
2.5451 1.4694 4.1561
Sm Eu Ir Ag
1 1 1 1
Direct
0.0000 0.0000 0.0000
0.5000 0.5000 0.5000
0.7500 0.7500 0.7500
0.2500 0.2500 0.2500
```

The value obtained for the calculated formation energy is -0.397 eV per atom. As for the space group: F-43m (216). The calculation puts the total energy at -7.073 eV/atom. The calculation puts the volume at 93.3 Å³ per cell.

***

[5]
An optimized crystal structure of EuThAgIr. Source: Alexandria via LeMat-Bulk, functional PBE.

POSCAR file:
```
EuThAgIr
1.0
5.1341 0.0000 0.0000
2.5670 4.4462 0.0000
2.5670 1.4821 4.1919
Ag Eu Th Ir
1 1 1 1
Direct
0.2500 0.2500 0.2500
0.0000 0.0000 0.0000
0.5000 0.5000 0.5000
0.7500 0.7500 0.7500
```

The value obtained for the calculated formation energy is -0.358 eV per atom. As for the space group: F-43m (216). The calculation puts the total energy at -7.710 eV/atom. The calculation puts the volume at 95.7 Å³ per cell.

***

[6]
An optimized crystal structure of EuYAgIr. Source: Alexandria via LeMat-Bulk, functional PBE.

POSCAR file:
```
EuYAgIr
1.0
-0.2610 5.0304 0.2752
-4.2517 2.2236 1.5580
-0.1539 2.2753 4.4998
Eu Ir Y Ag
1 1 1 1
Direct
0.2500 0.2500 0.2500
0.0000 0.0000 0.0000
0.7500 0.7500 0.7500
0.5000 0.5000 0.5000
```

The value obtained for the calculated formation energy is -0.419 eV per atom. As for the space group: F-43m (216). The calculation puts the total energy at -7.532 eV/atom. The calculation puts the volume at 90.8 Å³ per cell.

***

[7]
An optimized crystal structure of KEuAg4. Source: Alexandria via LeMat-Bulk, functional PBE.

POSCAR file:
```
KEuAg4
1.0
5.9105 0.0000 0.0000
2.9553 5.1186 0.0000
2.9553 1.7062 4.8259
Ag Eu K
4 1 1
Direct
0.6249 0.6249 0.1252
0.6249 0.6249 0.6249
0.1252 0.6249 0.6249
0.6249 0.1252 0.6249
0.2500 0.2500 0.2500
0.0000 0.0000 0.0000
```

The value obtained for the calculated formation energy is -0.061 eV per atom. As for the space group: F-43m (216). The calculation puts the total energy at -3.857 eV/atom. The calculation puts the volume at 146.0 Å³ per cell.

***

[8]
An optimized crystal structure of KEuAg2. Source: Alexandria via LeMat-Bulk, functional PBE.

POSCAR file:
```
KEuAg2
1.0
3.7179 0.0000 0.0000
0.0000 5.6699 0.0000
0.0000 0.0000 5.6699
K Eu Ag
1 1 2
Direct
0.5000 0.0000 0.0000
0.5000 0.5000 0.5000
0.0000 0.0000 0.5000
0.0000 0.5000 0.0000
```

The value obtained for the calculated formation energy is -0.053 eV per atom. As for the space group: P4/mmm (123). The calculation puts the total energy at -4.322 eV/atom. The calculation puts the volume at 119.5 Å³ per cell.

***

Repeat the seventh record exactly.
An optimized crystal structure of KEuAg4. Source: Alexandria via LeMat-Bulk, functional PBE.

POSCAR file:
```
KEuAg4
1.0
5.9105 0.0000 0.0000
2.9553 5.1186 0.0000
2.9553 1.7062 4.8259
Ag Eu K
4 1 1
Direct
0.6249 0.6249 0.1252
0.6249 0.6249 0.6249
0.1252 0.6249 0.6249
0.6249 0.1252 0.6249
0.2500 0.2500 0.2500
0.0000 0.0000 0.0000
```

The value obtained for the calculated formation energy is -0.061 eV per atom. As for the space group: F-43m (216). The calculation puts the total energy at -3.857 eV/atom. The calculation puts the volume at 146.0 Å³ per cell.

***

The lowest volume belongs to which entry?
EuMgAgIr